No. 1
Material: Sr2Ga4Ni5
Method: DFT, PBE-GGA
State: relaxed

Cell and atoms, written as CIF:
```
data_Sr2Ga4Ni5
_chemical_formula_sum 'Sr8 Ga16 Ni20'
_symmetry_space_group_name_H-M 'F m m m'
_symmetry_Int_Tables_number 69
_symmetry_space_group_name_Hall '-F 2 2'
_cell_length_a 5.4896
_cell_length_b 9.7251
_cell_length_c 14.4832
_cell_angle_alpha 90.00
_cell_angle_beta 90.00
_cell_angle_gamma 90.00
loop_
_atom_site_label
_atom_site_type_symbol
_atom_site_fract_x
_atom_site_fract_y
_atom_site_fract_z
Sr1 Sr 0.0000 0.0000 0.1351
Ga1 Ga 0.0000 0.1625 0.3725
Ni1 Ni 0.0000 0.0000 0.5000
Ni2 Ni 0.2500 0.2500 0.0000
Ni3 Ni 0.2500 0.2500 0.2500
```

## Properties
Energy of formation = -0.38 eV per atom
Crystal system = orthorhombic

---

No. 2
Material: SrGaNi3
Method: DFT, PBE-GGA
State: relaxed

Cell and atoms, written as CIF:
```
data_SrGaNi3
_chemical_formula_sum 'Sr1 Ga1 Ni3'
_symmetry_space_group_name_H-M 'P m -3 m'
_symmetry_Int_Tables_number 221
_symmetry_space_group_name_Hall '-P 4 2 3'
_cell_length_a 4.7824
_cell_length_b 4.7824
_cell_length_c 4.7824
_cell_angle_alpha 90.00
_cell_angle_beta 90.00
_cell_angle_gamma 90.00
loop_
_atom_site_label
_atom_site_type_symbol
_atom_site_fract_x
_atom_site_fract_y
_atom_site_fract_z
Sr1 Sr 0.0000 0.0000 0.0000
Ga1 Ga 0.5000 0.5000 0.5000
Ni1 Ni 0.0000 0.0000 0.5000
```

## Properties
Energy of formation = 1.62 eV per atom
Crystal system = cubic

---

No. 3
Material: Sr3Ga4Ni2
Method: DFT, PBE-GGA
State: relaxed

Cell and atoms, written as CIF:
```
data_Sr3Ga4Ni2
_chemical_formula_sum 'Sr6 Ga8 Ni4'
_symmetry_space_group_name_H-M 'C 1 2/m 1'
_symmetry_Int_Tables_number 12
_cell_length_a 15.8974
_cell_length_b 4.4675
_cell_length_c 6.8308
_cell_angle_alpha 90.00
_cell_angle_beta 111.02
_cell_angle_gamma 90.00
loop_
_symmetry_equiv_pos_as_xyz
'x,y,z'
'-x,-y,-z'
'-x,y,-z'
'x,-y,z'
'x+1/2,y+1/2,z'
'-x+1/2,-y+1/2,-z'
'-x+1/2,y+1/2,-z'
'x+1/2,-y+1/2,z'
loop_
_atom_site_label
_atom_site_type_symbol
_atom_site_fract_x
_atom_site_fract_y
_atom_site_fract_z
Sr1 Sr 0.0000 0.0000 0.0000
Sr2 Sr 0.1513 0.0000 0.5739
Ga1 Ga 0.0241 0.5000 0.6923
Ga2 Ga 0.2137 0.0000 0.0937
Ni1 Ni 0.1536 0.5000 0.0037
```

## Properties
Energy of formation = -0.30 eV per atom
Crystal system = monoclinic

---

No. 4
Material: SrGa3Ni5
Method: DFT, PBE-GGA
State: relaxed

Cell and atoms, written as CIF:
```
data_SrGa3Ni5
_chemical_formula_sum 'Sr4 Ga12 Ni20'
_symmetry_space_group_name_H-M 'C m c m'
_symmetry_Int_Tables_number 63
_symmetry_space_group_name_Hall '-C 2c 2'
_cell_length_a 3.9119
_cell_length_b 12.3288
_cell_length_c 11.6744
_cell_angle_alpha 90.00
_cell_angle_beta 90.00
_cell_angle_gamma 90.00
loop_
_atom_site_label
_atom_site_type_symbol
_atom_site_fract_x
_atom_site_fract_y
_atom_site_fract_z
Sr1 Sr 0.0000 0.1833 0.2500
Ga1 Ga 0.0000 0.0931 0.7500
Ga2 Ga 0.0000 0.3787 0.5458
Ni1 Ni 0.0000 0.0000 0.0000
Ni2 Ni 0.0000 0.1890 0.5606
Ni3 Ni 0.0000 0.4485 0.1418
```

## Properties
Energy of formation = -0.33 eV per atom
Crystal system = orthorhombic

---

No. 5
Material: Sr2Ga2Ni
Method: DFT, PBE-GGA
State: relaxed

Cell and atoms, written as CIF:
```
data_Sr2Ga2Ni
_chemical_formula_sum 'Sr4 Ga4 Ni2'
_symmetry_space_group_name_H-M 'P 4/m b m'
_symmetry_Int_Tables_number 127
_symmetry_space_group_name_Hall '-P 4 2ab'
_cell_length_a 7.0672
_cell_length_b 7.0672
_cell_length_c 4.9976
_cell_angle_alpha 90.00
_cell_angle_beta 90.00
_cell_angle_gamma 90.00
loop_
_atom_site_label
_atom_site_type_symbol
_atom_site_fract_x
_atom_site_fract_y
_atom_site_fract_z
Sr1 Sr 0.1797 0.3203 0.0000
Ga1 Ga 0.1338 0.6338 0.5000
Ni1 Ni 0.0000 0.0000 0.5000
```

## Properties
Energy of formation = -0.12 eV per atom
Crystal system = tetragonal

---

No. 6
Material: SrGa8Ni4
Method: DFT, PBE-GGA
State: relaxed

Cell and atoms, written as CIF:
```
data_SrGa8Ni4
_chemical_formula_sum 'Sr2 Ga16 Ni8'
_symmetry_space_group_name_H-M 'I 4/m m m'
_symmetry_Int_Tables_number 139
_symmetry_space_group_name_Hall '-I 4 2'
_cell_length_a 8.7350
_cell_length_b 8.7350
_cell_length_c 5.1838
_cell_angle_alpha 90.00
_cell_angle_beta 90.00
_cell_angle_gamma 90.00
loop_
_atom_site_label
_atom_site_type_symbol
_atom_site_fract_x
_atom_site_fract_y
_atom_site_fract_z
Sr1 Sr 0.0000 0.0000 0.0000
Ga1 Ga 0.0000 0.2268 0.5000
Ga2 Ga 0.0000 0.3454 0.0000
Ni1 Ni 0.2500 0.2500 0.2500
```

## Properties
Energy of formation = -0.36 eV per atom
Crystal system = tetragonal

---

No. 7
Material: Sr3Ga2Ni
Method: DFT, PBE-GGA
State: relaxed

Cell and atoms, written as CIF:
```
data_Sr3Ga2Ni
_chemical_formula_sum 'Sr12 Ga8 Ni4'
_symmetry_space_group_name_H-M 'P n m a'
_symmetry_Int_Tables_number 62
_cell_length_a 12.5512
_cell_length_b 4.4310
_cell_length_c 13.0819
_cell_angle_alpha 90.00
_cell_angle_beta 90.00
_cell_angle_gamma 90.00
loop_
_symmetry_equiv_pos_as_xyz
'x,y,z'
'-x,-y,-z'
'-x+1/2,-y,z+1/2'
'x+1/2,y,-z+1/2'
'x+1/2,-y+1/2,-z+1/2'
'-x+1/2,y+1/2,z+1/2'
'-x,y+1/2,-z'
'x,-y+1/2,z'
loop_
_atom_site_label
_atom_site_type_symbol
_atom_site_fract_x
_atom_site_fract_y
_atom_site_fract_z
Sr1 Sr 0.0677 0.2500 0.1219
Sr2 Sr 0.1093 0.7500 0.5563
Sr3 Sr 0.2011 0.2500 0.7975
Ga1 Ga 0.0493 0.7500 0.3162
Ga2 Ga 0.2173 0.7500 0.9790
Ni1 Ni 0.1242 0.2500 0.3632
```

## Properties
Energy of formation = -0.30 eV per atom
Crystal system = orthorhombic

---

No. 8
Material: SrGa3Ni
Method: DFT, PBE-GGA
State: relaxed

Cell and atoms, written as CIF:
```
data_SrGa3Ni
_chemical_formula_sum 'Sr1 Ga3 Ni1'
_symmetry_space_group_name_H-M 'P m -3 m'
_symmetry_Int_Tables_number 221
_symmetry_space_group_name_Hall '-P 4 2 3'
_cell_length_a 4.6947
_cell_length_b 4.6947
_cell_length_c 4.6947
_cell_angle_alpha 90.00
_cell_angle_beta 90.00
_cell_angle_gamma 90.00
loop_
_atom_site_label
_atom_site_type_symbol
_atom_site_fract_x
_atom_site_fract_y
_atom_site_fract_z
Sr1 Sr 0.0000 0.0000 0.0000
Ga1 Ga 0.0000 0.5000 0.5000
Ni1 Ni 0.5000 0.5000 0.5000
```

## Properties
Energy of formation = -0.33 eV per atom
Crystal system = cubic

---

No. 9
Material: SrGa2Ni4
Method: DFT, PBE-GGA
State: relaxed

Cell and atoms, written as CIF:
```
data_SrGa2Ni4
_chemical_formula_sum 'Sr2 Ga4 Ni8'
_symmetry_space_group_name_H-M 'P 42/m n m'
_symmetry_Int_Tables_number 136
_symmetry_space_group_name_Hall '-P 4n 2n'
_cell_length_a 7.4700
_cell_length_b 7.4700
_cell_length_c 3.8263
_cell_angle_alpha 90.00
_cell_angle_beta 90.00
_cell_angle_gamma 90.00
loop_
_atom_site_label
_atom_site_type_symbol
_atom_site_fract_x
_atom_site_fract_y
_atom_site_fract_z
Sr1 Sr 0.0000 0.0000 0.0000
Ga1 Ga 0.2256 0.2256 0.5000
Ni1 Ni 0.0860 0.6430 0.5000
```

## Properties
Energy of formation = -0.28 eV per atom
Crystal system = tetragonal

---

No. 10
Material: Sr4Ga3Ni
Method: DFT, PBE-GGA
State: relaxed

Cell and atoms, written as CIF:
```
data_Sr4Ga3Ni
_chemical_formula_sum 'Sr4 Ga3 Ni1'
_symmetry_space_group_name_H-M 'P m m 2'
_symmetry_Int_Tables_number 25
_cell_length_a 4.4196
_cell_length_b 4.7379
_cell_length_c 11.5980
_cell_angle_alpha 90.00
_cell_angle_beta 90.00
_cell_angle_gamma 90.00
loop_
_symmetry_equiv_pos_as_xyz
'x,y,z'
'-x,-y,z'
'-x,y,z'
'x,-y,z'
loop_
_atom_site_label
_atom_site_type_symbol
_atom_site_fract_x
_atom_site_fract_y
_atom_site_fract_z
Sr1 Sr 0.0000 0.0000 0.0000
Sr2 Sr 0.0000 0.5000 0.4886
Sr3 Sr 0.5000 0.0000 0.7099
Sr4 Sr 0.5000 0.5000 0.2096
Ga1 Ga 0.0000 0.5000 0.7927
Ga2 Ga 0.5000 0.0000 0.3985
Ga3 Ga 0.5000 0.5000 0.9154
Ni1 Ni 0.0000 0.0000 0.3101
```

## Properties
Energy of formation = -0.33 eV per atom
Crystal system = orthorhombic

---

No. 11
Material: SrGa2Ni2
Method: DFT, PBE-GGA
State: relaxed

Cell and atoms, written as CIF:
```
data_SrGa2Ni2
_chemical_formula_sum 'Sr2 Ga4 Ni4'
_symmetry_space_group_name_H-M 'P 4/m b m'
_symmetry_Int_Tables_number 127
_symmetry_space_group_name_Hall '-P 4 2ab'
_cell_length_a 7.6008
_cell_length_b 7.6008
_cell_length_c 2.8524
_cell_angle_alpha 90.00
_cell_angle_beta 90.00
_cell_angle_gamma 90.00
loop_
_atom_site_label
_atom_site_type_symbol
_atom_site_fract_x
_atom_site_fract_y
_atom_site_fract_z
Sr1 Sr 0.0000 0.0000 0.0000
Ga1 Ga 0.1449 0.3551 0.5000
Ni1 Ni 0.1362 0.6362 0.0000
```

## Properties
Energy of formation = -0.16 eV per atom
Crystal system = tetragonal

---

No. 12
Material: SrGaNi3
Method: DFT, PBE-GGA
State: relaxed

Cell and atoms, written as CIF:
```
data_SrGaNi3
_chemical_formula_sum 'Sr4 Ga4 Ni12'
_symmetry_space_group_name_H-M 'P n m a'
_symmetry_Int_Tables_number 62
_cell_length_a 8.6644
_cell_length_b 4.0820
_cell_length_c 9.7078
_cell_angle_alpha 90.00
_cell_angle_beta 90.00
_cell_angle_gamma 90.00
loop_
_symmetry_equiv_pos_as_xyz
'x,y,z'
'-x,-y,-z'
'-x+1/2,-y,z+1/2'
'x+1/2,y,-z+1/2'
'x+1/2,-y+1/2,-z+1/2'
'-x+1/2,y+1/2,z+1/2'
'-x,y+1/2,-z'
'x,-y+1/2,z'
loop_
_atom_site_label
_atom_site_type_symbol
_atom_site_fract_x
_atom_site_fract_y
_atom_site_fract_z
Sr1 Sr 0.1744 0.2500 0.0161
Ga1 Ga 0.0846 0.2500 0.3695
Ni1 Ni 0.0696 0.2500 0.6296
Ni2 Ni 0.1535 0.7500 0.7636
Ni3 Ni 0.1832 0.7500 0.2493
```

## Properties
Energy of formation = -0.16 eV per atom
Crystal system = orthorhombic

---

What DOS(E_F) values result from the calculations? In sequence: 7.42 5.38 5.81 4.31 4.82 4.95 5.52 2.85 3.60 7.13 2.91 3.12 states/eV/f.u..
What total moment values result from the calculations? In sequence: 0.000 0.000 0.000 0.000 0.000 0.000 0.000 0.000 0.000 0.000 0.000 0.000 μB/atom.